{
  "formula": "ZnP2O2",
  "functional": "PBE",
  "state": "optimized geometry",
  "e_form_raw_ev_per_atom": 0.415,
  "n_ef_per_ev_cell": 2.62,
  "lattice_angstrom": [[3.728, 0.000, 0.000], [0.000, 3.728, 0.000], [0.000, 0.000, 4.958]],
  "species": ["P", "P", "O", "O", "Zn"],
  "fractional_positions": [[0.000, 0.000, 0.500], [0.500, 0.500, 0.500], [0.500, 0.000, 0.000], [0.000, 0.500, 0.000], [0.000, 0.000, 0.000]]
}


{
  "formula": "Zn2PO4",
  "functional": "PBE",
  "state": "optimized geometry",
  "e_form_raw_ev_per_atom": -1.419,
  "n_ef_per_ev_cell": 0.94,
  "lattice_angstrom": [[-3.964, 0.840, 3.713], [-2.432, -4.682, -1.537], [4.944, 0.281, 1.146]],
  "species": ["O", "O", "O", "O", "Zn", "Zn", "P"],
  "fractional_positions": [[0.702, 0.052, 0.754], [0.052, 0.702, 0.754], [0.298, 0.298, 0.246], [0.948, 0.948, 0.246], [0.000, 0.500, 0.000], [0.500, 0.000, 0.000], [0.000, 0.000, 0.000]]
}


{
  "formula": "Zn2PO4",
  "functional": "PBE",
  "state": "optimized geometry",
  "e_form_raw_ev_per_atom": -1.584,
  "n_ef_per_ev_cell": 1.36,
  "lattice_angstrom": [[5.039, 0.000, 0.000], [0.000, 5.039, 0.000], [-2.520, -2.520, 3.847]],
  "species": ["Zn", "Zn", "P", "O", "O", "O", "O"],
  "fractional_positions": [[0.250, 0.750, 0.500], [0.750, 0.250, 0.500], [0.500, 0.500, 0.000], [0.566, 0.566, 0.767], [0.202, 0.202, 0.767], [0.434, 0.798, 0.233], [0.798, 0.434, 0.233]]
}


{
  "formula": "ZnP2O2",
  "functional": "PBE",
  "state": "optimized geometry",
  "e_form_raw_ev_per_atom": 0.601,
  "n_ef_per_ev_cell": 1.96,
  "lattice_angstrom": [[-1.131, 2.889, 2.415], [-0.781, -2.647, 2.801], [3.900, 0.345, 1.414]],
  "species": ["Zn", "O", "O", "P", "P"],
  "fractional_positions": [[0.500, 0.500, 0.500], [0.000, 0.000, 0.500], [0.000, 0.000, 0.000], [0.000, 0.500, 0.000], [0.500, 0.000, 0.000]]
}


{
  "formula": "ZnPO2",
  "functional": "PBE",
  "state": "optimized geometry",
  "e_form_raw_ev_per_atom": -0.490,
  "n_ef_per_ev_cell": 1.77,
  "lattice_angstrom": [[-4.680, 5.423, 0.687], [-2.404, 6.451, 2.095], [-2.551, 6.686, -0.758]],
  "species": ["O", "O", "P", "Zn"],
  "fractional_positions": [[0.119, 0.119, 0.119], [0.881, 0.881, 0.881], [0.500, 0.500, 0.500], [0.000, 0.000, 0.000]]
}


{
  "formula": "Zn2P2O7",
  "functional": "PBE",
  "state": "optimized geometry",
  "e_form_raw_ev_per_atom": -1.952,
  "n_ef_per_ev_cell": 0.00,
  "lattice_angstrom": [[-1.277, 0.302, -5.195], [-4.677, -1.191, 2.328], [-1.932, 4.138, -0.052]],
  "species": ["P", "P", "O", "O", "O", "O", "O", "O", "O", "Zn", "Zn"],
  "fractional_positions": [[0.786, 0.786, 0.907], [0.214, 0.214, 0.093], [0.372, 0.068, 0.277], [0.068, 0.372, 0.277], [0.932, 0.628, 0.723], [0.619, 0.619, 0.213], [0.628, 0.932, 0.723], [0.381, 0.381, 0.787], [0.000, 0.000, 0.000], [0.310, 0.690, 0.500], [0.690, 0.310, 0.500]]
}


{
  "formula": "Zn3PO6",
  "functional": "PBE",
  "state": "optimized geometry",
  "e_form_raw_ev_per_atom": -1.394,
  "n_ef_per_ev_cell": 6.22,
  "lattice_angstrom": [[-4.937, -0.118, -1.001], [-1.597, -0.865, -4.700], [-2.242, -4.731, -1.068]],
  "species": ["O", "O", "O", "O", "O", "O", "Zn", "Zn", "Zn", "P"],
  "fractional_positions": [[0.754, 0.036, 0.719], [0.612, 0.181, 0.268], [0.181, 0.939, 0.268], [0.036, 0.491, 0.719], [0.939, 0.612, 0.268], [0.491, 0.754, 0.719], [0.367, 0.367, 0.899], [0.149, 0.149, 0.554], [0.628, 0.628, 0.115], [0.842, 0.842, 0.473]]
}


{
  "formula": "ZnPO3",
  "functional": "PBE",
  "state": "optimized geometry",
  "e_form_raw_ev_per_atom": -1.782,
  "n_ef_per_ev_cell": 0.00,
  "lattice_angstrom": [[-3.907, 1.033, 2.912], [-3.267, -3.580, 1.146], [2.982, -1.294, 4.468]],
  "species": ["O", "O", "O", "O", "O", "O", "Zn", "Zn", "P", "P"],
  "fractional_positions": [[0.000, 0.701, 0.220], [0.299, 0.701, 0.780], [0.299, 0.000, 0.220], [0.701, 0.299, 0.220], [0.000, 0.299, 0.780], [0.701, 0.000, 0.780], [0.333, 0.333, 0.000], [0.667, 0.667, 0.000], [0.000, 0.000, 0.300], [0.000, 0.000, 0.700]]
}


{
  "formula": "ZnP3O",
  "functional": "PBE",
  "state": "optimized geometry",
  "e_form_raw_ev_per_atom": 0.614,
  "n_ef_per_ev_cell": 2.95,
  "lattice_angstrom": [[4.180, 0.000, 0.000], [0.000, 4.180, 0.000], [0.000, 0.000, 4.180]],
  "species": ["Zn", "P", "P", "P", "O"],
  "fractional_positions": [[0.500, 0.500, 0.500], [0.500, 0.000, 0.000], [0.000, 0.000, 0.500], [0.000, 0.500, 0.000], [0.000, 0.000, 0.000]]
}


{
  "formula": "ZnPO2",
  "functional": "PBE",
  "state": "optimized geometry",
  "e_form_raw_ev_per_atom": -0.958,
  "n_ef_per_ev_cell": 0.56,
  "lattice_angstrom": [[1.716, 0.000, 5.733], [-0.858, 1.486, 5.733], [-0.858, -1.486, 5.733]],
  "species": ["O", "O", "Zn", "P"],
  "fractional_positions": [[0.099, 0.099, 0.099], [0.901, 0.901, 0.901], [0.500, 0.500, 0.500], [0.000, 0.000, 0.000]]
}


{
  "formula": "ZnPO3",
  "functional": "PBE",
  "state": "optimized geometry",
  "e_form_raw_ev_per_atom": -0.897,
  "n_ef_per_ev_cell": 0.80,
  "lattice_angstrom": [[-1.685, -2.201, -2.200], [0.853, -2.733, 2.080], [-2.993, 0.460, 1.831]],
  "species": ["O", "O", "O", "Zn", "P"],
  "fractional_positions": [[0.000, 0.500, 0.000], [0.500, 0.000, 0.000], [0.000, 0.000, 0.500], [0.500, 0.500, 0.500], [0.000, 0.000, 0.000]]
}


{
  "formula": "ZnPO3",
  "functional": "PBE",
  "state": "optimized geometry",
  "e_form_raw_ev_per_atom": 0.211,
  "n_ef_per_ev_cell": 1.27,
  "lattice_angstrom": [[-2.359, 0.533, 2.873], [1.627, -2.827, 1.861], [2.427, 2.414, 1.545]],
  "species": ["O", "O", "O", "P", "Zn"],
  "fractional_positions": [[0.500, 0.000, 0.000], [0.000, 0.000, 0.500], [0.000, 0.500, 0.000], [0.500, 0.500, 0.500], [0.000, 0.000, 0.000]]
}


- What is the formula in the eleventh record?
  ZnPO3